# FeGeRh2

FeGeRh2 after structural relaxation (GGA-PBE, Alexandria via LeMat-Bulk).

energy of formation	-0.240	eV/atom
volume	13.90	Å³/atom

a = 2.8908 Å, b = 2.8908 Å, c = 6.6516 Å
α = 90.00°, β = 90.00°, γ = 90.00°
Last column: nearest neighbours and their distance in Å.
Space group P4/mmm (No. 123)
Asymmetric unit:
Fe  0.0000  0.0000  0.0000 (multiplicity 1)  8 Rh 2.70, 4 Fe 2.89
Ge  0.0000  0.0000  0.5000 (multiplicity 1)  8 Rh 2.58
Rh  0.5000  0.5000  0.2641 (multiplicity 2)  4 Ge 2.58, 4 Fe 2.70

=====

# Zr2HgSe

Zr2HgSe after structural relaxation (GGA-PBE, Alexandria via LeMat-Bulk).

ΔE_f (raw)	-0.536	eV/atom
energy above the lowest structure with this stoichiometry	54.4	meV per atom
volume	23.58	Å³/atom

a = 3.5598 Å, b = 3.5598 Å, c = 7.4439 Å
α = 90.00°, β = 90.00°, γ = 90.00°
Last column: nearest neighbours and their distance in Å.
Space group P4mm (No. 99)
Asymmetric unit:
Zr  0.0000  0.0000  0.0000 (multiplicity 1)  4 Se 2.71
Zr  0.5000  0.5000  0.2642 (multiplicity 1)  1 Se 2.97, 4 Hg 3.07, 4 Zr 3.19
Hg  0.0000  0.0000  0.5010 (multiplicity 1)  4 Zr 3.07
Se  0.5000  0.5000  0.8649 (multiplicity 1)  5 Zr 2.71-2.97